Density functional theory data (PBE-GGA) for a relaxed TlFe2Se crystal.

```
4
Lattice="-2.896 2.320 0.195 -1.992 -2.461 -0.312 -0.136 -0.741 6.775" Properties=species:S:1:pos:R:3 pbc="T T T"
Fe -1.761 -2.253 0.639
Fe -2.217 0.116 1.093
Se -0.802 -1.216 2.549
Tl -3.300 -1.590 5.296
```

* polymorph energy (0 for the lowest one): 30.3 meV per atom
* space group: No. 25
* formation energy from raw total energies: 0.209 eV/atom